Entry from Alexandria: a relaxed structure of Ba2ScSi (PBE).

Output
- Formation energy from raw total energies: -111 meV/atom
- Magnetic moment: 0.992 μB/f.u.

Cell: 3.8441 3.8441 9.7468 Å, 90.00 90.00 90.00°
Last column: nearest neighbours and their distance in Å.
Atoms (fractional coordinates):
Si1 0.5000 0.5000 0.6680  4 Sc 2.80
Ba1 0.5000 0.5000 0.3128  1 Si 3.46, 4 Ba 3.84
Ba2 0.0000 0.0000 0.9220  1 Sc 3.17
Sc1 0.0000 0.0000 0.5971  4 Si 2.80